# 1
Ho2PbO PBE-GGA relaxed; raw formation energy = -1.78 eV/atom; SG = P4/nmm, No. 129; distance to the lowest polymorph of the same formula = 0.000 eV per atom
1.0
4.509 0.000 0.000
0.000 4.509 0.000
0.000 0.000 8.814
Ho Pb O
4 2 2
Direct
0.000 0.500 0.829
0.000 0.000 0.500
0.500 0.000 0.171
0.500 0.500 0.500
0.500 0.000 0.803
0.000 0.500 0.197
0.500 0.000 0.429
0.000 0.500 0.571

---

# 2
Mg16Al12Br PBE-GGA relaxed; raw formation energy = -0.02 eV/atom; SG = Cm, No. 8; distance to the lowest polymorph of the same formula = 0.000 eV per atom
1.0
-4.771 -7.556 -1.624
8.851 -1.964 -0.548
2.069 -6.272 6.399
Mg Al Br
16 12 1
Direct
0.713 0.401 0.603
0.291 0.683 0.320
0.602 0.005 0.684
0.312 0.996 0.409
0.653 0.653 0.337
0.996 0.312 0.409
0.994 0.994 0.000
0.683 0.291 0.320
0.348 0.998 0.004
0.401 0.713 0.603
0.689 0.689 0.709
0.614 0.327 0.992
0.005 0.602 0.684
0.996 0.996 0.668
0.998 0.348 0.004
0.327 0.614 0.992
0.811 0.999 0.373
0.010 0.633 0.188
0.363 0.176 0.645
0.162 0.162 0.164
0.999 0.811 0.373
0.176 0.363 0.645
0.644 0.831 0.994
0.189 0.821 0.819
0.831 0.644 0.994
0.633 0.010 0.188
0.821 0.189 0.819
0.368 0.368 0.820
0.372 0.372 0.237

---

# 3
Zr2TlVC PBE-GGA relaxed; SG = P4/mmm, No. 123; energy relative to the elements = 8.748 eV/f.u.; distance to the lowest polymorph of the same formula = 2.060 eV per atom
1.0
4.791 0.000 0.000
0.000 5.113 0.000
0.000 0.000 4.791
Zr C Tl V
2 1 1 1
Direct
0.000 0.000 0.500
0.500 0.000 0.000
0.500 0.500 0.500
0.000 0.500 0.000
0.000 0.000 0.000

---

# 4
Ti2NbAs2 PBE-GGA relaxed; SG = Cmc2_1, No. 36; energy relative to the elements = -3.077 eV/f.u.; distance to the lowest polymorph of the same formula = 0.130 eV per atom
1.0
-1.596 1.104 -3.036
-4.350 -3.380 3.195
-2.491 6.774 3.774
As Ti Nb
4 4 2
Direct
0.767 0.533 0.649
0.233 0.467 0.149
0.004 0.007 0.392
0.996 0.993 0.892
0.880 0.760 0.146
0.345 0.690 0.862
0.120 0.240 0.646
0.655 0.310 0.362
0.350 0.700 0.435
0.650 0.300 0.935

---

# 5
Nb3CdI PBE-GGA relaxed; raw formation energy = 1.95 eV/atom; SG = Pm-3m, No. 221; distance to the lowest polymorph of the same formula = 0.403 eV per atom
1.0
5.097 0.000 0.000
0.000 5.097 0.000
0.000 0.000 5.097
Nb Cd I
3 1 1
Direct
0.000 0.000 0.500
0.000 0.500 0.000
0.500 0.000 0.000
0.000 0.000 0.000
0.500 0.500 0.500

---

# 6
Na2AcPt PBE-GGA relaxed; SG = R-3m, No. 166; energy relative to the elements = 1.425 eV/f.u.
1.0
-2.253 0.148 -2.546
-1.564 -2.832 -1.054
-9.888 0.986 6.531
Pt Na Ac
1 2 1
Direct
0.500 0.500 0.500
0.106 0.106 0.683
0.894 0.894 0.317
0.000 0.000 0.000

---

# 7
Np3Sb2N PBE-GGA relaxed; raw formation energy = -0.51 eV/atom; SG = Pnma, No. 62
1.0
-1.941 -2.983 -1.898
6.469 -3.530 -1.068
-2.198 -8.974 16.354
N Np Sb
4 12 8
Direct
0.750 0.022 0.557
0.250 0.478 0.057
0.250 0.978 0.443
0.750 0.522 0.943
0.750 0.491 0.682
0.750 0.877 0.656
0.750 0.991 0.818
0.250 0.509 0.318
0.250 0.623 0.156
0.750 0.328 0.037
0.250 0.172 0.537
0.250 0.672 0.963
0.750 0.377 0.844
0.250 0.009 0.182
0.250 0.123 0.344
0.750 0.828 0.463
0.250 0.681 0.788
0.250 0.621 0.568
0.250 0.181 0.712
0.750 0.379 0.432
0.750 0.819 0.288
0.750 0.319 0.212
0.750 0.879 0.068
0.250 0.121 0.932

---

# 8
Hg3OsCl PBE-GGA relaxed; raw formation energy = 1.63 eV/atom; SG = Pm-3m, No. 221; distance to the lowest polymorph of the same formula = 0.990 eV per atom
1.0
5.529 0.000 0.000
0.000 5.529 0.000
0.000 0.000 5.529
Cl Os Hg
1 1 3
Direct
0.000 0.000 0.000
0.500 0.500 0.500
0.500 0.000 0.000
0.000 0.000 0.500
0.000 0.500 0.000

---

# 9
Ca2Pm15Tm2 PBE-GGA relaxed; SG = R-3m, No. 166; energy relative to the elements = 4.400 eV/f.u.
1.0
8.756 -0.300 1.701
1.345 8.658 1.701
-0.363 -0.300 8.912
Pm Tm Ca
15 2 2
Direct
0.706 0.294 0.000
0.147 0.638 0.638
0.638 0.147 0.638
0.706 0.000 0.294
0.362 0.853 0.362
0.362 0.362 0.853
0.500 0.000 0.000
0.000 0.294 0.706
0.638 0.638 0.147
0.294 0.000 0.706
0.000 0.000 0.500
0.000 0.706 0.294
0.853 0.362 0.362
0.000 0.500 0.000
0.294 0.706 0.000
0.905 0.905 0.905
0.095 0.095 0.095
0.669 0.669 0.669
0.331 0.331 0.331

---

# 10
ReW2Cl PBE-GGA relaxed; raw formation energy = 1.33 eV/atom; SG = I-4m2, No. 119; distance to the lowest polymorph of the same formula = 0.923 eV per atom
1.0
-0.298 5.158 -0.792
-2.555 2.931 3.493
3.688 -3.704 0.019
W Cl Re
2 1 1
Direct
0.250 0.750 0.500
0.000 0.000 0.000
0.500 0.500 0.000
0.750 0.250 0.500

---

# 11
CsSc4I7 PBE-GGA relaxed; raw formation energy = -0.96 eV/atom; SG = P2_1/m, No. 11
1.0
-4.223 3.440 1.037
0.393 -1.843 7.517
14.267 16.516 3.303
Sc I Cs
8 14 2
Direct
0.997 0.616 0.254
0.999 0.373 0.638
0.527 0.627 0.862
0.997 0.616 0.746
0.529 0.384 0.754
0.999 0.373 0.362
0.529 0.384 0.246
0.527 0.627 0.138
0.504 0.768 0.260
0.024 0.763 0.870
0.522 0.718 0.000
0.504 0.768 0.740
0.502 0.237 0.370
0.004 0.282 0.500
0.003 0.736 0.614
0.003 0.736 0.386
0.522 0.264 0.114
0.024 0.763 0.130
0.021 0.232 0.760
0.502 0.237 0.630
0.522 0.264 0.886
0.021 0.232 0.240
0.504 0.885 0.500
0.022 0.115 0.000

---

# 12
HoBC PBE-GGA relaxed; SG = Pnma, No. 62; energy relative to the elements = -1.306 eV/f.u.; distance to the lowest polymorph of the same formula = 0.020 eV per atom
1.0
-0.352 1.792 -2.868
0.547 -5.872 -3.736
-6.334 -0.776 0.292
B C Ho
4 4 4
Direct
0.250 0.976 0.927
0.250 0.476 0.573
0.750 0.524 0.427
0.750 0.024 0.073
0.250 0.912 0.706
0.750 0.088 0.294
0.250 0.412 0.794
0.750 0.588 0.206
0.750 0.670 0.844
0.250 0.830 0.344
0.250 0.330 0.156
0.750 0.170 0.656